# ScUNiO6 | the Alexandria database | PBE+U | optimized geometry
data_ScUNiO6
_cell_length_a 5.2496
_cell_length_b 5.2496
_cell_length_c 9.2827
_cell_angle_alpha 90.00
_cell_angle_beta 90.00
_cell_angle_gamma 120.00
_symmetry_space_group_name_H-M 'P -3 1 c'
_symmetry_Int_Tables_number 163
_symmetry_space_group_name_Hall '-P 3 2c'
loop_
_atom_site_label
_atom_site_type_symbol
_atom_site_fract_x
_atom_site_fract_y
_atom_site_fract_z
Sc1 Sc 0.0000 0.0000 0.0000
U1 U 0.3333 0.6667 0.2500
Ni1 Ni 0.3333 0.6667 0.7500
O1 O 0.0106 0.3433 0.6320
# Raw total energy in eV per atom: -7.981